# TlPt3 | Alexandria | GGA-PBE | relaxed
# ΔH_f (0 K): 0.250 eV per formula unit
# Density: 18.9 g/cm3
# Space group: No. 47
data_TlPt3
_chemical_formula_sum 'Tl1 Pt3'
_symmetry_space_group_name_H-M 'P 1'
_symmetry_Int_Tables_number 1
_symmetry_space_group_name_Hall 'P 1'
_cell_length_a 3.975
_cell_length_b 2.936
_cell_length_c 6.619
_cell_angle_alpha 63.63
_cell_angle_beta 90.00
_cell_angle_gamma 90.00
loop_
_atom_site_label
_atom_site_type_symbol
_atom_site_fract_x
_atom_site_fract_y
_atom_site_fract_z
Pt1 Pt 0.500 0.750 0.750
Pt2 Pt 0.000 0.488 0.511
Pt3 Pt 0.000 0.012 0.989
Tl1 Tl 0.500 0.250 0.250